Here is a relaxed structure of Sr3V2AgO8 from the Alexandria database. Energies are from PBE+U.

Computed properties:
The calculation puts the electronic total energy at -6.590 eV per atom. As for the space group: P-3m1.

Lattice parameters (Å, degrees): 5.766 5.766 7.595 90.00 90.00 120.00
Each line ends with the local moment (μB).
Fractional coordinates of all 14 atoms:
O1 0.830 0.170 0.720  -0.03
O2 0.170 0.340 0.280  -0.03
O3 0.830 0.660 0.720  -0.03
O4 0.660 0.830 0.280  -0.03
O5 0.333 0.667 0.959  -0.03
O6 0.170 0.830 0.280  -0.03
O7 0.667 0.333 0.041  -0.03
O8 0.340 0.170 0.720  -0.03
Sr1 0.000 0.000 0.000  0.00
Sr2 0.667 0.333 0.343  0.01
Sr3 0.333 0.667 0.657  0.01
V1 0.667 0.333 0.811  0.54
V2 0.333 0.667 0.189  0.54
Ag1 0.000 0.000 0.500  0.01